## LiUAs2 (PBE)

Data for a relaxed LiUAs2 crystal.

Formation energy in meV per atom: -652
Excess energy over the best structure of this formula in the dataset in meV/atom: 0
Uncorrected energy in eV/atom: -6.28

a b c (Å): 3.950 3.950 20.114
angles (deg): 90.00 90.00 90.00
Space group I4/mmm (No. 139)
Symmetry-distinct sites (fractional):
Li 0.000 0.500 0.250
U 0.000 0.000 0.107
As 0.000 0.000 0.336
As 0.000 0.500 0.000